(1)
HgPIr2 | Alexandria | GGA-PBE | relaxed; D(E_F) = 2.45 states/eV/cell; space group = Cm (8); size of the total moment = 0.00 μB per atom; distance to the lowest polymorph of the same formula = 159 meV/atom; E_form = 182 meV per atom
1.0
5.0567 -1.4375 0.0000
5.0567 1.4375 0.0000
-0.4883 0.0000 5.1506
Hg P Ir
1 1 2
direct
0.0000 0.0000 0.0000
0.2380 0.2380 0.7151
0.5875 0.5875 0.4691
0.8651 0.8651 0.4767

(2)
HgPIr2 | Alexandria | GGA-PBE | relaxed; D(E_F) = 2.57 states/eV/cell; space group = Immm (71); size of the total moment = 0.00 μB per atom; distance to the lowest polymorph of the same formula = 272 meV/atom; E_form = 294 meV per atom
1.0
-1.4535 2.6455 4.3130
1.4535 -2.6455 4.3130
1.4535 2.6455 -4.3130
Hg P Ir
1 1 2
direct
0.0000 0.0000 0.0000
0.5000 0.5000 0.0000
0.2945 0.7945 0.5000
0.7055 0.2055 0.5000

(3)
Hg2PIr | Alexandria | GGA-PBE | relaxed; D(E_F) = 1.39 states/eV/cell; space group = Cm (8); size of the total moment = 0.00 μB per atom; E_form = 135 meV per atom
1.0
5.0195 -1.6622 0.0000
5.0195 1.6622 0.0000
-1.9564 0.0000 5.4911
Hg P Ir
2 1 1
direct
0.0000 0.0000 0.0000
0.1878 0.1878 0.6460
0.3364 0.3364 0.3461
0.7476 0.7476 0.0824

(4)
HgP2Ir | Alexandria | GGA-PBE | relaxed; D(E_F) = 1.90 states/eV/cell; space group = P4mm (99); size of the total moment = 0.00 μB per atom; E_form = 343 meV per atom
1.0
2.9992 0.0000 0.0000
0.0000 2.9992 0.0000
0.0000 0.0000 7.6251
Hg P Ir
1 2 1
direct
0.0000 0.0000 0.0000
0.0000 0.0000 0.4712
0.5000 0.5000 0.6508
0.5000 0.5000 0.3044

(5)
HgP4Ir | Alexandria | GGA-PBE | relaxed; D(E_F) = 2.58 states/eV/cell; space group = F-43m (216); size of the total moment = 0.00 μB per atom; E_form = 923 meV per atom
1.0
0.0000 3.7100 3.7100
3.7100 0.0000 3.7100
3.7100 3.7100 0.0000
Hg P Ir
1 4 1
direct
0.0000 0.0000 0.0000
0.3610 0.3610 0.3610
0.3610 0.3610 0.9169
0.3610 0.9169 0.3610
0.9169 0.3610 0.3610
0.7500 0.7500 0.7500

(6)
HgP2Ir | Alexandria | GGA-PBE | relaxed; D(E_F) = 5.65 states/eV/cell; space group = I-42d (122); size of the total moment = 0.00 μB per atom; E_form = 25 meV per atom
1.0
-2.8435 2.8435 5.4625
2.8435 -2.8435 5.4625
2.8435 2.8435 -5.4625
Hg P Ir
2 4 2
direct
0.0000 0.0000 0.0000
0.7500 0.2500 0.5000
0.1818 0.6250 0.0568
0.3750 0.4318 0.5568
0.5682 0.1250 0.9432
0.8750 0.8182 0.4432
0.2500 0.7500 0.5000
0.5000 0.5000 0.0000

(7)
HgPIr2 | Alexandria | GGA-PBE | relaxed; D(E_F) = 3.33 states/eV/cell; space group = Cmmm (65); size of the total moment = 0.00 μB per atom; distance to the lowest polymorph of the same formula = 260 meV/atom; E_form = 283 meV per atom
1.0
1.4640 -2.6351 0.0000
1.4640 2.6351 0.0000
0.0000 0.0000 8.6086
Hg P Ir
1 1 2
direct
0.0000 0.0000 0.0000
0.0000 0.0000 0.5000
0.5000 0.5000 0.2946
0.5000 0.5000 0.7054

(8)
HgP4Ir2 | Alexandria | GGA-PBE | relaxed; D(E_F) = 5.00 states/eV/cell; space group = I4/mmm (139); size of the total moment = 0.00 μB per atom; E_form = 866 meV per atom
1.0
-2.3974 2.3974 6.5108
2.3974 -2.3974 6.5108
2.3974 2.3974 -6.5108
Hg P Ir
1 4 2
direct
0.0000 0.0000 0.0000
0.0000 0.5000 0.5000
0.2364 0.2364 0.0000
0.5000 0.0000 0.5000
0.7636 0.7636 0.0000
0.3993 0.3993 0.0000
0.6007 0.6007 0.0000

(9)
HgPIr2 | Alexandria | GGA-PBE | relaxed; D(E_F) = 2.38 states/eV/cell; space group = Pm (6); size of the total moment = 0.00 μB per atom; distance to the lowest polymorph of the same formula = 180 meV/atom; E_form = 203 meV per atom
1.0
3.6114 0.0000 0.0000
0.0000 4.3208 0.0000
-0.4957 0.0000 4.6908
Hg P Ir
1 1 2
direct
0.0000 0.0000 0.0000
0.4983 0.5000 0.6801
0.4748 0.0000 0.5028
0.9593 0.5000 0.3915

(10)
HgPIr2 | Alexandria | GGA-PBE | relaxed; D(E_F) = 3.39 states/eV/cell; space group = Cmm2 (35); size of the total moment = 0.00 μB per atom; distance to the lowest polymorph of the same formula = 358 meV/atom; E_form = 381 meV per atom
1.0
1.3877 -2.4275 0.0000
1.3877 2.4275 0.0000
0.0000 0.0000 10.8497
Hg P Ir
1 1 2
direct
0.0000 0.0000 0.0000
0.5000 0.5000 0.3547
0.0000 0.0000 0.5327
0.5000 0.5000 0.7508

(11)
HgP2Ir | Alexandria | GGA-PBE | relaxed; D(E_F) = 1.22 states/eV/cell; space group = Cm (8); size of the total moment = 0.00 μB per atom; E_form = 17 meV per atom
1.0
4.0560 -1.6095 0.0000
4.0560 1.6095 0.0000
-1.7370 0.0000 6.1328
Hg P Ir
1 2 1
direct
0.0000 0.0000 0.0000
0.2430 0.2430 0.6880
0.3541 0.3541 0.4180
0.6358 0.6358 0.3896

(12)
HgPIr2 | Alexandria | GGA-PBE | relaxed; D(E_F) = 2.15 states/eV/cell; space group = P4mm (99); size of the total moment = 0.00 μB per atom; distance to the lowest polymorph of the same formula = 240 meV/atom; E_form = 262 meV per atom
1.0
3.2424 0.0000 0.0000
0.0000 3.2424 0.0000
0.0000 0.0000 6.4835
Hg P Ir
1 1 2
direct
0.0000 0.0000 0.0000
0.5000 0.5000 0.6410
0.0000 0.0000 0.5387
0.5000 0.5000 0.2780